<A>
DFT (meta-GGA SCAN) results for CoRuPt at its PBEsol-relaxed geometry.

Summary:
DOS at the Fermi energy   1.03 states/eV per atom
Total magnetic moment   0.44 μB per atom

abc: 4.0440 4.0440 4.0440
angles: 60.00 60.00 60.00
Closest atoms and distances in Å follow each position.
Fractional coordinates of all 3 atoms:
Ru: 0.0000 0.0000 0.0000  4 Pt 2.48
Co: 0.5000 0.5000 0.5000  4 Pt 2.48
Pt: 0.2500 0.2500 0.2500  4 Co 2.48, 4 Ru 2.48

<B>
DFT (meta-GGA SCAN) results for CoRuPt at its PBEsol-relaxed geometry.

Summary:
DOS at the Fermi energy   0.90 states/eV per atom
Total magnetic moment   0.73 μB per atom

abc: 2.6560 2.6560 6.3913
angles: 90.00 90.00 120.00
Closest atoms and distances in Å follow each position.
Fractional coordinates of all 3 atoms:
Ru: 0.6667 0.3333 0.3154  3 Co 2.48, 6 Ru 2.66, 3 Pt 2.76
Co: 0.0000 0.0000 0.0101  3 Ru 2.48, 3 Pt 2.64, 6 Co 2.66
Pt: 0.3333 0.6667 0.6745  3 Co 2.64, 6 Pt 2.66, 3 Ru 2.76

Which of them is the most stable, and which is the least stable? <B> and <A>, in that order.

<A>
DFT (meta-GGA SCAN) results for TaCo2Pt at its PBEsol-relaxed geometry.

Summary:
DOS at the Fermi energy   0.76 states/eV per atom
Total magnetic moment   0.92 μB per atom

abc: 2.7429 2.7429 7.0495
angles: 90.00 90.00 90.00
Closest atoms and distances in Å follow each position.
Fractional coordinates of all 4 atoms:
Co: 0.0000 0.0000 0.0272  4 Co 2.39, 4 Ta 2.66
Co: 0.5000 0.5000 0.2243  4 Co 2.39, 4 Pt 2.65
Pt: 0.0000 0.0000 0.4798  4 Co 2.65, 4 Pt 2.74, 4 Ta 2.81
Ta: 0.5000 0.5000 0.7686  4 Co 2.66, 4 Ta 2.74, 4 Pt 2.81

<B>
DFT (meta-GGA SCAN) results for TaCo2Pt at its PBEsol-relaxed geometry.

Summary:
DOS at the Fermi energy   0.22 states/eV per atom
Total magnetic moment   0.24 μB per atom

abc: 3.5801 3.7878 3.7878
angles: 90.00 90.00 90.00
Closest atoms and distances in Å follow each position.
Fractional coordinates of all 4 atoms:
Co: 0.0000 0.0000 0.5000  4 Ta 2.61, 4 Pt 2.61, 4 Co 2.68
Co: 0.0000 0.5000 0.0000  4 Ta 2.61, 4 Pt 2.61, 4 Co 2.68
Pt: 0.5000 0.5000 0.5000  8 Co 2.61, 4 Ta 2.68
Ta: 0.5000 0.0000 0.0000  8 Co 2.61, 4 Pt 2.68

Which of them is the most stable, and which is the least stable? <B> and <A>, in that order.

<A>
DFT (meta-GGA SCAN) results for TaCo2Pt at its PBEsol-relaxed geometry.

Summary:
DOS at the Fermi energy   0.70 states/eV per atom
Total magnetic moment   0.85 μB per atom

abc: 2.6666 4.7484 5.0286
angles: 116.85 103.22 94.43
Closest atoms and distances in Å follow each position.
Fractional coordinates of all 4 atoms:
Co: 0.5000 0.5000 0.5000  2 Ta 2.56, 2 Pt 2.56, 6 Co 2.63-2.81
Co: 0.0000 0.0000 0.5000  2 Pt 2.56, 2 Ta 2.56, 6 Co 2.63-2.81
Pt: 0.0000 0.5000 0.0000  4 Co 2.56, 4 Ta 2.63-2.81, 2 Pt 2.67
Ta: 0.5000 0.0000 0.0000  4 Co 2.56, 4 Pt 2.63-2.81, 2 Ta 2.67

<B>
DFT (meta-GGA SCAN) results for TaCo2Pt at its PBEsol-relaxed geometry.

Summary:
DOS at the Fermi energy   0.45 states/eV per atom
Total magnetic moment   0.56 μB per atom

abc: 3.7012 3.7012 4.6215
angles: 113.61 113.61 90.00
Closest atoms and distances in Å follow each position.
Fractional coordinates of all 4 atoms:
Co: 0.0000 0.0000 0.0000  4 Pt 2.62, 4 Ta 2.66, 4 Co 2.66
Co: 0.7500 0.2500 0.5000  4 Ta 2.62, 4 Co 2.66, 4 Pt 2.66
Pt: 0.5000 0.5000 0.0000  8 Co 2.62-2.66, 4 Ta 2.66
Ta: 0.2500 0.7500 0.5000  8 Co 2.62-2.66, 4 Pt 2.66

Which of them is the most stable, and which is the least stable? <B> and <A>, in that order.

<A>
DFT (meta-GGA SCAN) results for CoPtW2 at its PBEsol-relaxed geometry.

Summary:
DOS at the Fermi energy   0.64 states/eV per atom
Total magnetic moment   0.16 μB per atom

abc: 3.7596 3.7596 4.7584
angles: 113.27 113.27 90.00
Closest atoms and distances in Å follow each position.
Fractional coordinates of all 4 atoms:
Co: 0.0000 0.0000 0.0000  4 Pt 2.66, 8 W 2.73
Pt: 0.5000 0.5000 0.0000  4 Co 2.66, 8 W 2.73
W: 0.7500 0.2500 0.5000  4 W 2.66, 4 Co 2.73, 4 Pt 2.73
W: 0.2500 0.7500 0.5000  4 W 2.66, 4 Co 2.73, 4 Pt 2.73

<B>
DFT (meta-GGA SCAN) results for CoPtW2 at its PBEsol-relaxed geometry.

Summary:
DOS at the Fermi energy   0.78 states/eV per atom
Total magnetic moment   0.33 μB per atom

abc: 2.7613 4.6187 4.6991
angles: 108.43 90.00 90.00
Closest atoms and distances in Å follow each position.
Fractional coordinates of all 4 atoms:
Co: 0.5000 0.0000 0.5000  4 Pt 2.69, 6 W 2.72-2.73, 2 Co 2.76
Pt: 0.0000 0.5000 0.5000  4 Co 2.69, 6 W 2.72-2.73, 2 Pt 2.76
W: 0.0000 0.0000 0.0000  6 W 2.69-2.76, 2 Pt 2.72, 4 Co 2.73
W: 0.5000 0.5000 0.0000  6 W 2.69-2.76, 2 Co 2.72, 4 Pt 2.73

<C>
DFT (meta-GGA SCAN) results for CoPtW2 at its PBEsol-relaxed geometry.

Summary:
DOS at the Fermi energy   0.61 states/eV per atom
Total magnetic moment   0.24 μB per atom

abc: 2.6831 3.8843 5.3742
angles: 90.00 90.00 90.00
Closest atoms and distances in Å follow each position.
Fractional coordinates of all 4 atoms:
Co: 0.5000 0.5000 0.0000  8 W 2.68, 2 Co 2.68, 2 Pt 2.69
Pt: 0.5000 0.5000 0.5000  2 Pt 2.68, 2 Co 2.69, 8 W 2.75
W: 0.0000 0.0000 0.7639  4 W 2.54-2.84, 4 Co 2.68, 4 Pt 2.75
W: 0.0000 0.0000 0.2361  4 W 2.54-2.84, 4 Co 2.68, 4 Pt 2.75

<D>
DFT (meta-GGA SCAN) results for CoPtW2 at its PBEsol-relaxed geometry.

Summary:
DOS at the Fermi energy   0.49 states/eV per atom
Total magnetic moment   0.00 μB per atom

abc: 2.6910 4.3518 4.7827
angles: 90.00 90.00 90.00
Closest atoms and distances in Å follow each position.
Fractional coordinates of all 4 atoms:
Co: 0.5000 0.0000 0.5489  8 W 2.66-2.79, 2 Co 2.69, 2 Pt 2.70
Pt: 0.5000 0.5000 0.2148  8 W 2.68-2.81, 2 Pt 2.69, 2 Co 2.70
W: 0.0000 0.0000 0.0374  4 W 2.69-2.71, 4 Pt 2.70, 4 Co 2.70-2.79
W: 0.0000 0.5000 0.6989  4 Co 2.66, 4 Pt 2.68-2.81, 4 W 2.69-2.71

Which of them is the most stable, and which is the least stable? <A> and <B>, in that order.

<A>
DFT (meta-GGA SCAN) results for RbCoSb3 at its PBEsol-relaxed geometry.

Summary:
DOS at the Fermi energy   0.84 states/eV per atom
Total magnetic moment   0.65 μB per atom

abc: 5.7620 5.7620 5.7620
angles: 90.00 90.00 90.00
Closest atoms and distances in Å follow each position.
Fractional coordinates of all 5 atoms:
Sb: 0.0000 0.5000 0.0000  2 Rb 2.88
Sb: 0.0000 0.0000 0.5000  2 Rb 2.88
Sb: 0.5000 0.0000 0.0000  2 Rb 2.88
Co: 0.5000 0.5000 0.5000  12 Sb 4.07
Rb: 0.0000 0.0000 0.0000  6 Sb 2.88

<B>
DFT (meta-GGA SCAN) results for RbCoSb3 at its PBEsol-relaxed geometry.

Summary:
DOS at the Fermi energy   0.93 states/eV per atom
Total magnetic moment   0.00 μB per atom

abc: 5.0884 5.0884 5.0884
angles: 90.00 90.00 90.00
Closest atoms and distances in Å follow each position.
Fractional coordinates of all 5 atoms:
Sb: 0.0000 0.5000 0.0000  2 Co 2.54
Sb: 0.0000 0.0000 0.5000  2 Co 2.54
Sb: 0.5000 0.0000 0.0000  2 Co 2.54
Co: 0.0000 0.0000 0.0000  6 Sb 2.54
Rb: 0.5000 0.5000 0.5000  12 Sb 3.60

Which of them is the most stable, and which is the least stable? <B> and <A>, in that order.

<A>
DFT (meta-GGA SCAN) results for CoRe5 at its PBEsol-relaxed geometry.

Summary:
DOS at the Fermi energy   0.85 states/eV per atom
Total magnetic moment   0.00 μB per atom

abc: 3.8167 3.8173 6.0265
angles: 90.00 108.46 90.00
Closest atoms and distances in Å follow each position.
Fractional coordinates of all 6 atoms:
Co: 0.5000 0.0000 0.0000  12 Re 2.66-2.70
Re: 0.3383 0.5000 0.6766  10 Re 2.66-2.78, 2 Co 2.66
Re: 0.1616 0.0000 0.3233  2 Co 2.66, 10 Re 2.66-2.78
Re: 0.0000 0.5000 0.0000  8 Re 2.66, 4 Co 2.70
Re: 0.8384 0.0000 0.6767  2 Co 2.66, 10 Re 2.66-2.78
Re: 0.6617 0.5000 0.3234  10 Re 2.66-2.78, 2 Co 2.66

<B>
DFT (meta-GGA SCAN) results for CoRe5 at its PBEsol-relaxed geometry.

Summary:
DOS at the Fermi energy   0.84 states/eV per atom
Total magnetic moment   0.00 μB per atom

abc: 4.3280 4.7143 4.7143
angles: 120.00 90.00 90.00
Closest atoms and distances in Å follow each position.
Fractional coordinates of all 6 atoms:
Co: 0.5000 0.0000 0.0000  12 Re 2.65-2.72
Re: 0.0000 0.3260 0.3260  2 Co 2.65, 10 Re 2.66-2.75
Re: 0.0000 0.6740 0.0000  2 Co 2.65, 10 Re 2.66-2.75
Re: 0.0000 0.0000 0.6740  2 Co 2.65, 10 Re 2.66-2.75
Re: 0.5000 0.3333 0.6667  9 Re 2.68-2.72, 3 Co 2.72
Re: 0.5000 0.6667 0.3333  9 Re 2.68-2.72, 3 Co 2.72

<C>
DFT (meta-GGA SCAN) results for CoRe5 at its PBEsol-relaxed geometry.

Summary:
DOS at the Fermi energy   0.70 states/eV per atom
Total magnetic moment   0.00 μB per atom

abc: 2.7262 5.1370 6.3789
angles: 103.96 90.00 105.39
Closest atoms and distances in Å follow each position.
Fractional coordinates of all 6 atoms:
Co: 0.9999 0.9997 0.0021  10 Re 2.60-2.71, 2 Co 2.73
Re: 0.3934 0.7867 0.2691  2 Co 2.60, 10 Re 2.61-2.76
Re: 0.6634 0.3268 0.3279  10 Re 2.61-2.78, 2 Co 2.67
Re: 0.0531 0.1063 0.6165  11 Re 2.63-2.75, 1 Co 2.64
Re: 0.3376 0.6751 0.6707  10 Re 2.63-2.78, 2 Co 2.69
Re: 0.7194 0.4387 0.9470  9 Re 2.62-2.73, 3 Co 2.66-2.71

Which of them is the most stable, and which is the least stable? <B> and <A>, in that order.

<A>
DFT (meta-GGA SCAN) results for CoReRh at its PBEsol-relaxed geometry.

Summary:
DOS at the Fermi energy   0.58 states/eV per atom
Total magnetic moment   0.38 μB per atom

abc: 4.0068 4.0068 4.0068
angles: 60.00 60.00 60.00
Closest atoms and distances in Å follow each position.
Fractional coordinates of all 3 atoms:
Re: 0.2500 0.2500 0.2500  4 Co 2.45, 4 Rh 2.45
Rh: 0.0000 0.0000 0.0000  4 Re 2.45
Co: 0.5000 0.5000 0.5000  4 Re 2.45

<B>
DFT (meta-GGA SCAN) results for CoReRh at its PBEsol-relaxed geometry.

Summary:
DOS at the Fermi energy   0.93 states/eV per atom
Total magnetic moment   0.34 μB per atom

abc: 2.6370 3.6611 4.5339
angles: 113.81 106.91 90.00
Closest atoms and distances in Å follow each position.
Fractional coordinates of all 3 atoms:
Re: 0.6610 0.6610 0.3221  5 Rh 2.57-2.64, 5 Co 2.57-2.70, 2 Re 2.64
Rh: 0.3347 0.3347 0.6693  5 Re 2.57-2.64, 5 Co 2.60-2.62, 2 Rh 2.64
Co: 0.0043 0.0043 0.0086  5 Re 2.57-2.70, 5 Rh 2.60-2.62, 2 Co 2.64

Which of them is the most stable, and which is the least stable? <B> and <A>, in that order.